1.
Computed, not measured: TaP2WO after structural relaxation at the PBE with a Hubbard U level of DFT.

Cell and atoms, written as extended XYZ:
```
5
Lattice="-2.3268 4.2900 -0.4513 -4.1897 -2.3696 -0.9238 -0.7782 -0.0400 3.6318" Properties=species:S:1:pos:R:3 pbc="T T T"
Ta -3.6474 0.9402 1.1283
P -1.1634 2.1450 -0.2256
O -0.3891 -0.0200 1.8159
W 0.0000 0.0000 0.0000
P -2.0949 -1.1848 -0.4619
```

Calculated values
symmetry	No. 123
N(E_F)	0.8589	states/eV/atom
mass density	8239	kg/m3
total magnetization	0.516	μB/atom
ΔE to the lowest computed polymorph	0.3566	eV per atom



2.
Computed, not measured: TaP2WO after structural relaxation at the PBE with a Hubbard U level of DFT.

Cell and atoms, written as extended XYZ:
```
5
Lattice="4.9286 0.0000 0.0000 0.0000 4.9286 0.0000 0.0000 0.0000 3.8191" Properties=species:S:1:pos:R:3 pbc="T T T"
O 0.0000 0.0000 1.9095
Ta 0.0000 0.0000 0.0000
W 2.4643 2.4643 1.9095
P 0.0000 2.4643 0.0000
P 2.4643 0.0000 0.0000
```

Calculated values
symmetry	No. 123
N(E_F)	0.3425	states/eV/atom
mass density	7925	kg/m3
total magnetization	0.653	μB/atom
ΔE to the lowest computed polymorph	0.0000	eV per atom



Among the records above, which one has the highest ΔE to the lowest computed polymorph?
number 1



Please write out number 1 again, unchanged.
Computed, not measured: TaP2WO after structural relaxation at the PBE with a Hubbard U level of DFT.

Cell and atoms, written as extended XYZ:
```
5
Lattice="-2.3268 4.2900 -0.4513 -4.1897 -2.3696 -0.9238 -0.7782 -0.0400 3.6318" Properties=species:S:1:pos:R:3 pbc="T T T"
Ta -3.6474 0.9402 1.1283
P -1.1634 2.1450 -0.2256
O -0.3891 -0.0200 1.8159
W 0.0000 0.0000 0.0000
P -2.0949 -1.1848 -0.4619
```

Calculated values
symmetry	No. 123
N(E_F)	0.8589	states/eV/atom
mass density	8239	kg/m3
total magnetization	0.516	μB/atom
ΔE to the lowest computed polymorph	0.3566	eV per atom



Repeat the second record exactly.
Computed, not measured: TaP2WO after structural relaxation at the PBE with a Hubbard U level of DFT.

Cell and atoms, written as extended XYZ:
```
5
Lattice="4.9286 0.0000 0.0000 0.0000 4.9286 0.0000 0.0000 0.0000 3.8191" Properties=species:S:1:pos:R:3 pbc="T T T"
O 0.0000 0.0000 1.9095
Ta 0.0000 0.0000 0.0000
W 2.4643 2.4643 1.9095
P 0.0000 2.4643 0.0000
P 2.4643 0.0000 0.0000
```

Calculated values
symmetry	No. 123
N(E_F)	0.3425	states/eV/atom
mass density	7925	kg/m3
total magnetization	0.653	μB/atom
ΔE to the lowest computed polymorph	0.0000	eV per atom